Entry 1:
Compound: CaW2Cl
Source: the Alexandria database
Functional: PBE
Structure: optimized geometry

Geometry as extended XYZ:
```
4
Lattice="-1.300 5.006 -0.269 -4.835 -1.179 1.432 0.728 0.336 2.735" Properties=species:S:1:pos:R:3 pbc="T T T"
W 0.000 0.000 0.000
Ca -0.286 2.671 1.233
Cl -2.054 -0.421 2.084
W -3.068 1.914 0.582
```

Output
Space-group type: P4/mmm (123)
ΔE_f (raw) in kcal/mol of atoms: 40.6
ΔE to the lowest computed polymorph in eV/f.u.: 6.96
Density in g/cm3: 9.63

Entry 2:
Compound: CaWCl2
Source: the Alexandria database
Functional: PBE
Structure: optimized geometry

Geometry as extended XYZ:
```
4
Lattice="-5.306 -3.049 -2.608 -2.910 -4.272 -4.186 0.552 -3.902 3.859" Properties=species:S:1:pos:R:3 pbc="T T T"
Ca -1.916 -2.806 -0.734
Cl -7.370 -6.623 -6.051
W -5.748 -8.418 -2.201
Cl -4.678 -6.310 -2.210
```

Output
Space-group type: C2/m (12)
ΔE_f (raw) in kcal/mol of atoms: -4.4
ΔE to the lowest computed polymorph in eV/f.u.: 1.02
Density in g/cm3: 4.40

Entry 3:
Compound: CaW2Cl
Source: the Alexandria database
Functional: PBE
Structure: optimized geometry

Geometry as extended XYZ:
```
4
Lattice="-4.553 4.366 2.746 -6.353 2.383 1.135 -1.305 -1.742 3.603" Properties=species:S:1:pos:R:3 pbc="T T T"
W -6.262 2.616 3.778
W -10.749 6.635 3.844
Ca -9.158 3.755 5.612
Cl -3.053 1.252 1.871
```

Output
Space-group type: C2/m (12)
ΔE_f (raw) in kcal/mol of atoms: 8.4
ΔE to the lowest computed polymorph in eV/f.u.: 1.37
Density in g/cm3: 8.73

Entry 4:
Compound: CaWCl
Source: the Alexandria database
Functional: PBE
Structure: optimized geometry

Geometry as extended XYZ:
```
3
Lattice="4.816 0.000 0.000 -2.408 4.171 0.000 0.000 0.000 3.003" Properties=species:S:1:pos:R:3 pbc="T T T"
Cl 0.000 2.780 1.501
W 2.408 1.390 1.501
Ca 0.000 0.000 0.000
```

Output
Space-group type: P-6m2 (187)
ΔE_f (raw) in kcal/mol of atoms: 18.0
ΔE to the lowest computed polymorph in eV/f.u.: 1.37
Density in g/cm3: 7.14

Number 1: total moment 0.97 μB per cell. Number 2: total moment 0.72 μB per cell. Number 3: total moment 0.00 μB per cell. Number 4: total moment 0.98 μB per cell.